Record 1
Below is LaNiHRh2 after structural relaxation, with properties calculated at the GGA-PBE level.

a = 4.169 Å, b = 4.169 Å, c = 4.050 Å
α = 90.00°, β = 90.00°, γ = 90.00°
Atoms (fractional coordinates):
Ni: 0.000 0.000 0.500
Rh: 0.000 0.500 0.000
Rh: 0.500 0.000 0.000
H: 0.000 0.000 0.000
La: 0.500 0.500 0.500

Output
Symmetry: P4/mmm
Raw total energy: -6.06 eV per atom



Record 2
Below is ErGa6Ge after structural relaxation, with properties calculated at the GGA-PBE level.

a = 5.711 Å, b = 5.711 Å, c = 5.370 Å
α = 88.69°, β = 88.69°, γ = 87.46°
Atoms (fractional coordinates):
Er: 0.500 0.500 0.500
Ga: 0.025 0.587 0.271
Ga: 0.587 0.025 0.271
Ga: 0.413 0.975 0.729
Ga: 0.975 0.413 0.729
Ga: 0.341 0.341 0.010
Ga: 0.659 0.659 0.990
Ge: 0.000 0.000 0.000

Output
Symmetry: C2/m
Raw total energy: -3.48 eV per atom
DFT formation energy: -0.50 eV per formula unit



Record 3
Below is Tc2Ni2Sn after structural relaxation, with properties calculated at the GGA-PBE level.

a = 6.273 Å, b = 6.273 Å, c = 3.727 Å
α = 90.00°, β = 90.00°, γ = 90.00°
Atoms (fractional coordinates):
Ni: 0.370 0.870 0.000
Ni: 0.870 0.630 0.000
Ni: 0.630 0.130 0.000
Ni: 0.130 0.370 0.000
Sn: 0.000 0.000 0.000
Sn: 0.500 0.500 0.000
Tc: 0.151 0.651 0.500
Tc: 0.651 0.849 0.500
Tc: 0.849 0.349 0.500
Tc: 0.349 0.151 0.500

Output
Symmetry: P4/mbm
Raw total energy: -7.00 eV per atom
DFT formation energy: 1.30 eV per formula unit
E above lowest polymorph: 0 meV per atom



Record 4
Below is Sc8InAg2 after structural relaxation, with properties calculated at the GGA-PBE level.

a = 4.759 Å, b = 7.577 Å, c = 8.060 Å
α = 114.73°, β = 107.17°, γ = 90.00°
Atoms (fractional coordinates):
Sc: 0.600 0.464 0.200
Sc: 0.314 0.042 0.628
Sc: 0.154 0.214 0.309
Sc: 0.056 0.734 0.112
Sc: 0.846 0.786 0.691
Sc: 0.686 0.958 0.372
Sc: 0.400 0.536 0.800
Sc: 0.944 0.266 0.888
In: 0.500 0.000 0.000
Ag: 0.210 0.628 0.419
Ag: 0.790 0.372 0.581

Output
Symmetry: C2/m
Raw total energy: -5.54 eV per atom
DFT formation energy: -1.83 eV per formula unit
E above lowest polymorph: 0 meV per atom